Entry 1:
VASP calculation (PBE) on a geometry-optimized Be2MoAu structure.

formation enthalpy at 0 K	209	meV per atom
E above lowest polymorph	4.69	kcal/mol of atoms

Cell lengths 7.183, 2.716, 5.389 Å; angles 90.00, 97.74, 90.00 degrees
Space group C2/m (No. 12)
Symmetry-distinct sites (fractional):
Be 0.247 0.000 0.239
Mo 0.000 0.000 0.500
Au 0.000 0.500 0.000



Entry 2:
VASP calculation (PBE) on a geometry-optimized Sr2HfHg2 structure.

formation enthalpy at 0 K	-50	meV per atom

Cell lengths 7.664, 7.664, 5.247 Å; angles 90.00, 90.00, 90.00 degrees
Space group P4/mbm (No. 127)
Symmetry-distinct sites (fractional):
Sr 0.173 0.327 0.000
Hf 0.000 0.000 0.500
Hg 0.142 0.642 0.500



Entry 3:
VASP calculation (PBE) on a geometry-optimized Ti2BeRh structure.

formation enthalpy at 0 K	30	meV per atom

Cell lengths 6.928, 6.928, 4.957 Å; angles 90.00, 90.00, 90.00 degrees
Space group I-42d (No. 122)
Symmetry-distinct sites (fractional):
Ti 0.241 0.250 0.125
Be 0.000 0.000 0.500
Rh 0.000 0.000 0.000



Entry 4:
VASP calculation (PBE) on a geometry-optimized Nb2CoPd structure.

formation enthalpy at 0 K	431	meV per atom
E above lowest polymorph	14.65	kcal/mol of atoms

Cell lengths 3.910, 3.910, 17.742 Å; angles 90.00, 90.00, 90.00 degrees
Space group I-42d (No. 122)
Symmetry-distinct sites (fractional):
Nb 0.239 0.250 0.125
Co 0.000 0.000 0.000
Pd 0.000 0.000 0.500



Entry 5:
VASP calculation (PBE) on a geometry-optimized SrBiP2O8 structure.

E above lowest polymorph	0.19	kcal/mol of atoms

Cell lengths 5.382, 7.244, 9.586 Å; angles 104.60, 93.27, 103.64 degrees
Space group P-1 (No. 2)
Symmetry-distinct sites (fractional):
Sr 0.177 0.303 0.069
Bi 0.292 0.706 0.454
P 0.240 0.488 0.713
P 0.397 0.892 0.198
O 0.052 0.604 0.662
O 0.120 0.267 0.627
O 0.206 0.963 0.112
O 0.270 0.529 0.879
O 0.286 0.672 0.196
O 0.351 0.079 0.871
O 0.441 0.002 0.364
O 0.494 0.439 0.340



Entry 6:
VASP calculation (PBE) on a geometry-optimized CsSmAs2O8 structure.

uncorrected energy	-6.135	eV per atom

Cell lengths 5.9616, 5.9616, 8.6660 Å; angles 90.00, 90.00, 120.00 degrees
Space group P-3 (No. 147)
Symmetry-distinct sites (fractional):
Cs 0.0000 0.0000 0.0000
Sm 0.0000 0.0000 0.5000
As 0.3333 0.6667 0.7252
O 0.1712 0.3523 0.6635
O 0.3333 0.6667 0.9244



Entry 7:
VASP calculation (PBE) on a geometry-optimized K4ScTc structure.

formation enthalpy at 0 K	1301	meV per atom

Cell lengths 9.916, 9.916, 9.916 Å; angles 90.00, 90.00, 90.00 degrees
Space group F-43m (No. 216)
Symmetry-distinct sites (fractional):
K 0.124 0.124 0.376
Sc 0.000 0.000 0.000
Tc 0.250 0.250 0.750



Entry 8:
VASP calculation (PBE) on a geometry-optimized YBeP structure.

formation enthalpy at 0 K	-1013	meV per atom
E above lowest polymorph	0.00	kcal/mol of atoms

Cell lengths 3.7090, 3.7090, 4.0212 Å; angles 90.00, 90.00, 120.00 degrees
Space group P-6m2 (No. 187)
Symmetry-distinct sites (fractional):
Y 0.0000 0.0000 0.0000
Be 0.3333 0.6667 0.5000
P 0.6667 0.3333 0.5000



Entry 9:
VASP calculation (PBE) on a geometry-optimized Ca2Y2Au3 structure.

formation enthalpy at 0 K	-682	meV per atom

Cell lengths 5.0890, 5.0890, 25.0809 Å; angles 90.00, 90.00, 120.00 degrees
Space group R-3m (No. 166, hexagonal axes)
Symmetry-distinct sites (fractional):
Ca 0.0000 0.0000 0.1261
Y 0.0000 0.0000 0.3767
Au 0.0000 0.0000 0.2600
Au 0.0000 0.0000 0.5000



Entry 10:
VASP calculation (PBE) on a geometry-optimized MgHg7 structure.

formation enthalpy at 0 K	-1	meV per atom
E above lowest polymorph	0.34	kcal/mol of atoms

Cell lengths 9.266, 9.266, 9.266 Å; angles 90.00, 90.00, 90.00 degrees
Space group Fm-3m (No. 225)
Symmetry-distinct sites (fractional):
Mg 0.000 0.000 0.000
Hg 0.000 0.000 0.500
Hg 0.000 0.250 0.250



Entry 11:
VASP calculation (PBE) on a geometry-optimized Al2RePd structure.

formation enthalpy at 0 K	173	meV per atom
E above lowest polymorph	15.64	kcal/mol of atoms

Cell lengths 6.715, 6.715, 5.696 Å; angles 90.00, 90.00, 90.00 degrees
Space group I-42d (No. 122)
Symmetry-distinct sites (fractional):
Al 0.235 0.750 0.125
Re 0.000 0.000 0.500
Pd 0.000 0.000 0.000